# TlTeSe2

TlTeSe2 after structural relaxation (PBE-GGA, Alexandria via LeMat-Bulk).

Properties
- Formation energy without anion corrections: 320.7 meV per atom

a b c (Å): 7.3897 7.3897 7.3897
angles (deg): 90.00 90.00 90.00
Space group F-43m (No. 216)
Asymmetric unit:
Tl1 0.0000 0.0000 0.0000 (multiplicity 4)
Te1 0.2500 0.2500 0.2500 (multiplicity 4)
Se1 0.0000 0.0000 0.5000 (multiplicity 4)
Se2 0.2500 0.2500 0.7500 (multiplicity 4)